Record 1
Material: Mg2GaSb2
Method: DFT, GGA-PBE
State: relaxed

The formation energy (no corrections) is -0.07 eV/atom. Its space group is I4/mmm. The excess energy over the best structure of this formula in the dataset comes out at 33 meV/atom. As for the volume: 28.24 Å³ per atom.

a = 7.2295 Å, b = 7.2295 Å, c = 7.2295 Å
α = 142.17°, β = 142.17°, γ = 54.58°
Last column: nearest neighbours and their distance in Å.
Sites, in units of the cell vectors:
1 Mg 0.2500 0.7500 0.5000  4 Sb 2.89
2 Mg 0.7500 0.2500 0.5000  4 Sb 2.89
3 Ga 0.0000 0.0000 0.0000  8 Sb 3.65, 8 Mg 3.98
4 Sb 0.3813 0.3813 0.0000  4 Mg 2.89, 1 Sb 3.05
5 Sb 0.6187 0.6187 0.0000  4 Mg 2.89, 1 Sb 3.05

Record 2
Material: MgGaSb
Method: DFT, GGA-PBE
State: relaxed

The formation energy (no corrections) is -0.11 eV/atom. Its space group is C2/m. As for the volume: 22.97 Å³ per atom.

a = 5.9930 Å, b = 5.9930 Å, c = 6.5757 Å
α = 113.98°, β = 113.98°, γ = 40.35°
Last column: nearest neighbours and their distance in Å.
Sites, in units of the cell vectors:
1 Mg 0.0389 0.0389 0.2901  4 Ga 2.96-3.12, 5 Sb 3.12-3.22, 1 Mg 3.24
2 Mg 0.9611 0.9611 0.7099  4 Ga 2.96-3.12, 5 Sb 3.12-3.22, 1 Mg 3.24
3 Ga 0.3663 0.3663 0.9273  1 Ga 2.73, 3 Sb 2.81-2.94, 2 Mg 2.96
4 Ga 0.6337 0.6337 0.0727  1 Ga 2.73, 3 Sb 2.81-2.94, 2 Mg 2.96
5 Sb 0.3276 0.3276 0.3211  3 Ga 2.81-2.94, 2 Mg 3.12
6 Sb 0.6724 0.6724 0.6789  3 Ga 2.81-2.94, 2 Mg 3.12

Record 3
Material: MgGa2Sb2
Method: DFT, GGA-PBE
State: relaxed

The formation energy (no corrections) is 0.03 eV/atom. Its space group is I4/mmm. The excess energy over the best structure of this formula in the dataset comes out at 0 meV/atom. As for the volume: 24.39 Å³ per atom.

a = 8.2202 Å, b = 8.2202 Å, c = 8.2202 Å
α = 152.03°, β = 152.03°, γ = 39.97°
Last column: nearest neighbours and their distance in Å.
Sites, in units of the cell vectors:
1 Mg 0.0000 0.0000 0.0000  8 Sb 3.19
2 Ga 0.2500 0.7500 0.5000  4 Ga 2.81, 4 Sb 3.07
3 Ga 0.7500 0.2500 0.5000  4 Ga 2.81, 4 Sb 3.07
4 Sb 0.4015 0.4015 0.0000  1 Sb 3.04, 4 Ga 3.07, 4 Mg 3.19
5 Sb 0.5985 0.5985 0.0000  1 Sb 3.04, 4 Ga 3.07, 4 Mg 3.19

Record 4
Material: Mg2GaSb2
Method: DFT, GGA-PBE
State: relaxed

The formation energy (no corrections) is -0.10 eV/atom. Its space group is P4/mbm. The excess energy over the best structure of this formula in the dataset comes out at 0 meV/atom. As for the volume: 24.93 Å³ per atom.

a = 8.6247 Å, b = 8.6247 Å, c = 3.3517 Å
α = 90.00°, β = 90.00°, γ = 90.00°
Last column: nearest neighbours and their distance in Å.
Sites, in units of the cell vectors:
1 Mg 0.1357 0.3643 0.0000  6 Sb 2.99-3.07, 1 Mg 3.31
2 Mg 0.3643 0.8643 0.0000  6 Sb 2.99-3.07, 1 Mg 3.31
3 Mg 0.6357 0.1357 0.0000  6 Sb 2.99-3.07, 1 Mg 3.31
4 Mg 0.8643 0.6357 0.0000  6 Sb 2.99-3.07, 1 Mg 3.31
5 Ga 0.0000 0.0000 0.5000  4 Sb 3.23, 2 Ga 3.35
6 Ga 0.5000 0.5000 0.5000  4 Sb 3.23, 2 Ga 3.35
7 Sb 0.1617 0.6617 0.5000  6 Mg 2.99-3.07, 2 Ga 3.23
8 Sb 0.3383 0.1617 0.5000  6 Mg 2.99-3.07, 2 Ga 3.23
9 Sb 0.6617 0.8383 0.5000  6 Mg 2.99-3.07, 2 Ga 3.23
10 Sb 0.8383 0.3383 0.5000  6 Mg 2.99-3.07, 2 Ga 3.23

Q: What is the formation energy (no corrections) in the third record?
A: 0.03 eV/atom

Q: Number 3 is which compound?
A: MgGa2Sb2

Q: Number 3 is which compound?
A: MgGa2Sb2